(1)
Computed, not measured: a relaxed structure of V2Rh2Au at the PBE level of DFT.

DFT formation energy   -0.231 eV/atom

Cell: 7.330 7.330 2.777 Å, 90.00 90.00 90.00°
Element x y z (fractional)
1 V 0.163 0.337 0.000
2 V 0.337 0.837 0.000
3 V 0.663 0.163 0.000
4 V 0.837 0.663 0.000
5 Rh 0.133 0.633 0.500
6 Rh 0.367 0.133 0.500
7 Rh 0.633 0.867 0.500
8 Rh 0.867 0.367 0.500
9 Au 0.000 0.000 0.500
10 Au 0.500 0.500 0.500

(2)
Computed, not measured: a relaxed structure of AgAsW2 at the PBE level of DFT.

DFT formation energy   0.919 eV/atom

Cell: 5.823 5.823 5.823 Å, 101.79 101.79 126.26°
Element x y z (fractional)
1 Ag 0.000 0.000 0.000
2 Ag 0.750 0.250 0.500
3 As 0.250 0.750 0.500
4 As 0.500 0.500 0.000
5 W 0.168 0.625 0.043
6 W 0.375 0.418 0.543
7 W 0.582 0.125 0.957
8 W 0.875 0.832 0.457

(3)
Computed, not measured: a relaxed structure of BaNiHgBi2 at the PBE level of DFT.

DFT formation energy   -0.260 eV/atom

Cell: 5.360 5.360 5.176 Å, 90.00 90.00 90.00°
Element x y z (fractional)
1 Ba 0.000 0.000 0.000
2 Ni 0.500 0.500 0.500
3 Hg 0.500 0.500 0.000
4 Bi 0.000 0.500 0.500
5 Bi 0.500 0.000 0.500

(4)
Computed, not measured: a relaxed structure of AsRuPb2 at the PBE level of DFT.

DFT formation energy   0.484 eV/atom

Cell: 9.642 9.642 9.642 Å, 19.93 19.93 19.93°
Element x y z (fractional)
1 As 0.000 0.000 0.000
2 Ru 0.500 0.500 0.500
3 Pb 0.239 0.239 0.239
4 Pb 0.761 0.761 0.761

(5)
Computed, not measured: a relaxed structure of CoBr at the PBE level of DFT.

Energy relative to the elements, uncorrected   0.086 eV per atom

Cell: 7.304 7.304 3.827 Å, 93.49 93.49 29.58°
Element x y z (fractional)
1 Co 0.247 0.247 0.315
2 Co 0.753 0.753 0.685
3 Br 0.136 0.136 0.785
4 Br 0.864 0.864 0.215

(6)
Computed, not measured: a relaxed structure of Rb2TlGaCl4 at the PBE level of DFT.

Energy relative to the elements, uncorrected   -1.384 eV per atom

Cell: 7.922 4.620 7.988 Å, 90.00 109.68 90.00°
Element x y z (fractional)
1 Rb 0.000 0.000 0.000
2 Rb 0.000 0.500 0.500
3 Tl 0.500 0.000 0.500
4 Ga 0.500 0.500 0.000
5 Cl 0.260 0.500 0.243
6 Cl 0.267 0.000 0.766
7 Cl 0.733 0.000 0.234
8 Cl 0.740 0.500 0.757

(7)
Computed, not measured: a relaxed structure of PmDy at the PBE level of DFT.

DFT formation energy   0.023 eV/atom

Cell: 5.763 3.665 6.317 Å, 90.00 90.00 90.00°
Element x y z (fractional)
1 Pm 0.250 0.000 0.168
2 Pm 0.750 0.000 0.832
3 Dy 0.250 0.500 0.666
4 Dy 0.750 0.500 0.334

(8)
Computed, not measured: a relaxed structure of BaLaFe3 at the PBE level of DFT.

DFT formation energy   1.655 eV/atom

Cell: 5.126 5.126 5.126 Å, 90.00 90.00 90.00°
Element x y z (fractional)
1 Ba 0.000 0.000 0.000
2 La 0.500 0.500 0.500
3 Fe 0.000 0.000 0.500
4 Fe 0.000 0.500 0.000
5 Fe 0.500 0.000 0.000

(9)
Computed, not measured: a relaxed structure of CaAl10Cr2 at the PBE level of DFT.

DFT formation energy   -0.186 eV/atom

Cell: 12.884 12.884 5.144 Å, 90.00 90.00 90.00°
Element x y z (fractional)
1 Ca 0.250 0.250 0.020
2 Ca 0.250 0.750 0.500
3 Ca 0.750 0.250 0.500
4 Ca 0.750 0.750 0.980
5 Al 0.011 0.250 0.249
6 Al 0.075 0.075 0.981
7 Al 0.075 0.425 0.981
8 Al 0.076 0.576 0.500
9 Al 0.076 0.924 0.500
10 Al 0.137 0.637 0.000
11 Al 0.137 0.863 0.000
12 Al 0.141 0.141 0.537
13 Al 0.141 0.359 0.537
14 Al 0.250 0.011 0.249
15 Al 0.250 0.489 0.249
16 Al 0.359 0.141 0.537
17 Al 0.359 0.359 0.537
18 Al 0.363 0.637 0.000
19 Al 0.363 0.863 0.000
20 Al 0.424 0.576 0.500
21 Al 0.424 0.924 0.500
22 Al 0.425 0.075 0.981
23 Al 0.425 0.425 0.981
24 Al 0.489 0.250 0.249
25 Al 0.511 0.750 0.751
26 Al 0.575 0.575 0.019
27 Al 0.575 0.925 0.019
28 Al 0.576 0.076 0.500
29 Al 0.576 0.424 0.500
30 Al 0.637 0.137 0.000
31 Al 0.637 0.363 0.000
32 Al 0.641 0.641 0.463
33 Al 0.641 0.859 0.463
34 Al 0.750 0.511 0.751
35 Al 0.750 0.989 0.751
36 Al 0.859 0.641 0.463
37 Al 0.859 0.859 0.463
38 Al 0.863 0.137 0.000
39 Al 0.863 0.363 0.000
40 Al 0.924 0.076 0.500
41 Al 0.924 0.424 0.500
42 Al 0.925 0.575 0.019
43 Al 0.925 0.925 0.019
44 Al 0.989 0.750 0.751
45 Cr 0.010 0.750 0.246
46 Cr 0.250 0.510 0.754
47 Cr 0.250 0.990 0.754
48 Cr 0.490 0.750 0.246
49 Cr 0.510 0.250 0.754
50 Cr 0.750 0.010 0.246
51 Cr 0.750 0.490 0.246
52 Cr 0.990 0.250 0.754

(10)
Computed, not measured: a relaxed structure of Tb3PmY2As6 at the PBE level of DFT.

DFT formation energy   -1.542 eV/atom

Cell: 7.189 7.189 7.190 Å, 99.59 99.59 119.99°
Element x y z (fractional)
1 Tb 0.000 0.000 0.000
2 Tb 0.334 0.666 0.000
3 Tb 0.666 0.334 0.000
4 Pm 0.500 0.500 0.500
5 Y 0.167 0.833 0.500
6 Y 0.833 0.167 0.500
7 As 0.079 0.416 0.248
8 As 0.247 0.247 0.751
9 As 0.416 0.079 0.248
10 As 0.584 0.921 0.752
11 As 0.753 0.753 0.249
12 As 0.921 0.584 0.752

(11)
Computed, not measured: a relaxed structure of PuMgGeAs at the PBE level of DFT.

DFT formation energy   -0.381 eV/atom

Cell: 4.897 4.897 4.897 Å, 60.00 60.00 60.00°
Element x y z (fractional)
1 Pu 0.000 0.000 0.000
2 Mg 0.500 0.500 0.500
3 Ge 0.750 0.750 0.750
4 As 0.250 0.250 0.250

(12)
Computed, not measured: a relaxed structure of Li2ZnCr at the PBE level of DFT.

DFT formation energy   0.225 eV/atom

Cell: 2.864 3.918 5.762 Å, 90.00 90.71 90.00°
Element x y z (fractional)
1 Li 0.000 0.000 0.000
2 Li 0.495 0.500 0.260
3 Zn 0.995 0.000 0.517
4 Cr 0.499 0.500 0.730

(13)
Computed, not measured: a relaxed structure of Ho4SbSe2S at the PBE level of DFT.

Energy relative to the elements, uncorrected   -1.609 eV per atom

Cell: 8.211 8.211 8.211 Å, 120.28 119.79 89.94°
Element x y z (fractional)
1 Ho 0.260 0.249 0.488
2 Ho 0.260 0.772 0.012
3 Ho 0.262 0.245 0.018
4 Ho 0.273 0.755 0.518
5 Ho 0.727 0.245 0.482
6 Ho 0.738 0.755 0.982
7 Ho 0.740 0.228 0.988
8 Ho 0.740 0.751 0.512
9 Sb 0.000 0.500 0.500
10 Sb 0.500 0.500 0.000
11 Se 0.000 0.000 0.000
12 Se 0.000 0.000 0.500
13 Se 0.000 0.500 0.000
14 Se 0.500 0.000 0.500
15 S 0.500 0.000 0.000
16 S 0.500 0.500 0.500

(14)
Computed, not measured: a relaxed structure of La8SmIr6 at the PBE level of DFT.

DFT formation energy   -0.639 eV/atom

Cell: 8.051 8.051 8.051 Å, 64.40 64.40 64.40°
Element x y z (fractional)
1 La 0.061 0.384 0.718
2 La 0.168 0.168 0.168
3 La 0.282 0.939 0.616
4 La 0.384 0.718 0.061
5 La 0.616 0.282 0.939
6 La 0.718 0.061 0.384
7 La 0.832 0.832 0.832
8 La 0.939 0.616 0.282
9 Sm 0.500 0.500 0.500
10 Ir 0.110 0.773 0.442
11 Ir 0.227 0.558 0.890
12 Ir 0.442 0.110 0.773
13 Ir 0.558 0.890 0.227
14 Ir 0.773 0.442 0.110
15 Ir 0.890 0.227 0.558

(15)
Computed, not measured: a relaxed structure of Ga2SnPd2 at the PBE level of DFT.

DFT formation energy   -0.310 eV/atom

Cell: 6.777 6.777 5.190 Å, 111.27 111.27 97.73°
Element x y z (fractional)
1 Ga 0.027 0.316 0.016
2 Ga 0.316 0.027 0.516
3 Ga 0.684 0.973 0.484
4 Ga 0.973 0.684 0.984
5 Sn 0.327 0.673 0.750
6 Sn 0.673 0.327 0.250
7 Pd 0.063 0.937 0.750
8 Pd 0.409 0.591 0.250
9 Pd 0.591 0.409 0.750
10 Pd 0.937 0.063 0.250

So what do the calculations give for theoretical density? Going down the list: 11.2 12.9 9.1 10.8 4.6 3.5 7.7 5.5 3.2 6.8 8.3 3.4 8.2 9.9 7.9 g/cm3.